Record 1
{
  "formula": "SrAg8",
  "functional": "PBE",
  "state": "optimized geometry",
  "spacegroup": "I4/mmm (139)",
  "final_energy_ha_per_atom": -0.100,
  "cell": [[-0.058, -1.798, 6.584], [2.525, 4.610, -4.354], [-6.405, 2.354, -0.134]],
  "species": ["Ag", "Ag", "Ag", "Sr", "Ag", "Ag", "Ag", "Ag", "Ag"],
  "frac_coords": [[0.657, 0.000, 0.657], [0.343, 0.000, 0.343], [0.000, 0.657, 0.657], [0.000, 0.000, 0.000], [0.320, 0.680, 0.000], [0.320, 0.320, 0.641], [0.680, 0.680, 0.359], [0.000, 0.343, 0.343], [0.680, 0.320, 0.000]]
}

=====

Record 2
{
  "formula": "NbPtN2O",
  "functional": "PBE",
  "state": "optimized geometry",
  "spacegroup": "P4/mmm (123)",
  "final_energy_ha_per_atom": -0.243,
  "cell": [[3.906, 0.000, 0.000], [0.000, 3.906, 0.000], [0.000, 0.000, 3.924]],
  "species": ["N", "N", "O", "Nb", "Pt"],
  "frac_coords": [[0.000, 0.500, 0.000], [0.500, 0.000, 0.000], [0.000, 0.000, 0.500], [0.500, 0.500, 0.500], [0.000, 0.000, 0.000]]
}

=====

Record 3
{
  "formula": "Hg3BiPd7",
  "functional": "PBE",
  "state": "optimized geometry",
  "spacegroup": "C2/m (12)",
  "final_energy_ha_per_atom": -0.138,
  "cell": [[-0.741, 0.296, -5.285], [3.303, -5.861, 2.663], [-5.511, -2.276, 4.100]],
  "species": ["Pd", "Pd", "Pd", "Pd", "Pd", "Pd", "Bi", "Hg", "Pd", "Hg", "Hg"],
  "frac_coords": [[0.615, 0.789, 0.789], [0.000, 0.500, 0.500], [0.331, 0.073, 0.581], [0.669, 0.927, 0.419], [0.331, 0.581, 0.073], [0.669, 0.419, 0.927], [0.500, 0.500, 0.500], [0.000, 0.215, 0.785], [0.385, 0.211, 0.211], [0.500, 0.000, 0.000], [0.000, 0.785, 0.215]]
}

=====

Record 4
{
  "formula": "DyYSbS",
  "functional": "PBE",
  "state": "optimized geometry",
  "spacegroup": "R-3m (166)",
  "final_energy_ha_per_atom": -0.224,
  "cell": [[4.949, 0.000, 0.000], [2.474, 4.286, 0.000], [2.474, 1.429, 10.676]],
  "species": ["Dy", "Sb", "Dy", "S", "Y", "Sb", "Y", "S"],
  "frac_coords": [[0.794, 0.794, 0.617], [0.106, 0.106, 0.682], [0.206, 0.206, 0.383], [0.295, 0.295, 0.115], [0.378, 0.378, 0.866], [0.894, 0.894, 0.318], [0.622, 0.622, 0.134], [0.705, 0.705, 0.885]]
}